[1]
{"formula": "Pu3Ga8Co3", "functional": "PBE-GGA", "state": "relaxed", "lattice_angstrom": [[-1.092, 1.762, 3.897], [-3.891, -5.810, 4.036], [4.083, -4.276, 5.577]], "species": ["Co", "Co", "Co", "Pu", "Pu", "Pu", "Ga", "Ga", "Ga", "Ga", "Ga", "Ga", "Ga", "Ga"], "fractional_positions": [[0.674, 0.649, 0.003], [0.000, 0.500, 0.500], [0.326, 0.351, 0.997], [0.000, 0.000, 0.000], [0.717, 0.278, 0.289], [0.283, 0.722, 0.711], [0.136, 0.160, 0.568], [0.864, 0.840, 0.432], [0.351, 0.035, 0.263], [0.491, 0.339, 0.680], [0.509, 0.661, 0.320], [0.138, 0.565, 0.159], [0.862, 0.435, 0.841], [0.649, 0.965, 0.737]], "energy_ev_per_atom": -6.65, "ef_kj_per_mol_atoms": -31.3, "space_group": "C2/m", "dos_at_fermi_per_ev_cell": 28.565, "magnetic_moment_mub_per_fu": 14.76}

[2]
{"formula": "Pu2Ga6Co", "functional": "PBE-GGA", "state": "relaxed", "lattice_angstrom": [[5.372, -0.027, -0.016], [0.029, 5.943, 0.006], [0.029, 2.966, 5.150]], "species": ["Ga", "Ga", "Ga", "Ga", "Ga", "Ga", "Pu", "Pu", "Co"], "fractional_positions": [[0.697, 0.172, 0.172], [0.303, 0.828, 0.343], [0.303, 0.828, 0.828], [0.697, 0.172, 0.657], [0.303, 0.343, 0.828], [0.697, 0.657, 0.172], [0.195, 0.333, 0.333], [0.805, 0.667, 0.667], [0.000, 0.000, 0.000]], "energy_ev_per_atom": -6.36, "ef_kj_per_mol_atoms": -35.6, "space_group": "P-3m1", "dos_at_fermi_per_ev_cell": 18.842, "magnetic_moment_mub_per_fu": 11.31}

[3]
{"formula": "Pu3Ga5Co3", "functional": "PBE-GGA", "state": "relaxed", "lattice_angstrom": [[-0.613, 3.224, 4.351], [-3.731, -3.459, 4.027], [5.945, 0.336, 2.578]], "species": ["Ga", "Ga", "Ga", "Ga", "Ga", "Co", "Co", "Co", "Pu", "Pu", "Pu"], "fractional_positions": [[0.819, 0.078, 0.078], [0.449, 0.808, 0.053], [0.446, 0.562, 0.314], [0.449, 0.053, 0.808], [0.446, 0.314, 0.562], [0.612, 0.373, 0.899], [0.612, 0.899, 0.373], [0.246, 0.749, 0.749], [0.877, 0.560, 0.560], [0.022, 0.558, 0.046], [0.022, 0.046, 0.558]], "energy_ev_per_atom": -7.40, "ef_kj_per_mol_atoms": -17.4, "space_group": "Cm", "dos_at_fermi_per_ev_cell": 25.548, "magnetic_moment_mub_per_fu": 15.02}

[4]
{"formula": "Pu4Ga12Co", "functional": "PBE-GGA", "state": "relaxed", "lattice_angstrom": [[-7.408, 0.694, -0.229], [1.907, -4.373, 5.715], [3.095, 6.714, 0.872]], "species": ["Ga", "Ga", "Ga", "Ga", "Ga", "Ga", "Ga", "Ga", "Ga", "Ga", "Ga", "Ga", "Pu", "Pu", "Pu", "Pu", "Co"], "fractional_positions": [[0.250, 0.500, 0.750], [0.281, 0.281, 0.000], [0.281, 0.000, 0.281], [0.750, 0.500, 0.250], [0.719, 0.719, 0.000], [0.500, 0.750, 0.250], [0.250, 0.750, 0.500], [0.719, 0.000, 0.719], [0.000, 0.719, 0.719], [0.000, 0.281, 0.281], [0.750, 0.250, 0.500], [0.500, 0.250, 0.750], [0.000, 0.000, 0.500], [0.500, 0.500, 0.500], [0.500, 0.000, 0.000], [0.000, 0.500, 0.000], [0.000, 0.000, 0.000]], "energy_ev_per_atom": -6.33, "ef_kj_per_mol_atoms": -38.5, "space_group": "Im-3m", "dos_at_fermi_per_ev_cell": 31.685, "magnetic_moment_mub_per_fu": 20.93}

[5]
{"formula": "Pu3Ga7Co4", "functional": "PBE-GGA", "state": "relaxed", "lattice_angstrom": [[-1.530, 3.495, 1.499], [-7.112, -1.713, 2.340], [-0.298, -1.282, 8.292]], "species": ["Pu", "Pu", "Pu", "Co", "Co", "Co", "Co", "Ga", "Ga", "Ga", "Ga", "Ga", "Ga", "Ga"], "fractional_positions": [[0.309, 0.177, 0.204], [0.691, 0.823, 0.796], [0.000, 0.500, 0.500], [0.111, 0.115, 0.662], [0.672, 0.442, 0.215], [0.889, 0.885, 0.338], [0.328, 0.558, 0.785], [0.841, 0.393, 0.925], [0.679, 0.168, 0.475], [0.490, 0.234, 0.786], [0.159, 0.607, 0.075], [0.000, 0.000, 0.000], [0.321, 0.832, 0.525], [0.510, 0.766, 0.214]], "energy_ev_per_atom": -6.93, "ef_kj_per_mol_atoms": -30.4, "space_group": "C2/m", "dos_at_fermi_per_ev_cell": 28.017, "magnetic_moment_mub_per_fu": 13.18}

[6]
{"formula": "PuGa3Co2", "functional": "PBE-GGA", "state": "relaxed", "lattice_angstrom": [[-5.268, -0.204, 0.070], [0.055, -3.180, -5.167], [0.229, -4.536, 4.023]], "species": ["Pu", "Pu", "Ga", "Ga", "Ga", "Ga", "Ga", "Ga", "Co", "Co", "Co", "Co"], "fractional_positions": [[0.750, 0.629, 0.629], [0.250, 0.371, 0.371], [0.750, 0.094, 0.454], [0.250, 0.906, 0.546], [0.250, 0.983, 0.983], [0.750, 0.017, 0.017], [0.250, 0.546, 0.906], [0.750, 0.454, 0.094], [0.000, 0.780, 0.220], [0.500, 0.220, 0.780], [0.000, 0.220, 0.780], [0.500, 0.780, 0.220]], "energy_ev_per_atom": -6.59, "ef_kj_per_mol_atoms": -30.5, "space_group": "Cmcm", "dos_at_fermi_per_ev_cell": 27.686, "magnetic_moment_mub_per_fu": 5.02}

[7]
{"formula": "Pu2GaCo3", "functional": "PBE-GGA", "state": "relaxed", "lattice_angstrom": [[-3.944, 0.484, -3.449], [4.824, 1.670, -1.272], [1.850, -4.380, 1.280]], "species": ["Pu", "Pu", "Co", "Co", "Co", "Ga"], "fractional_positions": [[0.249, 0.624, 0.873], [0.751, 0.376, 0.127], [0.000, 0.000, 0.500], [0.500, 0.000, 0.500], [0.500, 0.500, 0.500], [0.000, 0.000, 0.000]], "energy_ev_per_atom": -9.05, "ef_kj_per_mol_atoms": -20.3, "space_group": "R-3m", "dos_at_fermi_per_ev_cell": 15.822, "magnetic_moment_mub_per_fu": 9.14}

[8]
{"formula": "Pu2Ga12Co", "functional": "PBE-GGA", "state": "relaxed", "lattice_angstrom": [[-5.112, 2.913, 0.992], [-1.574, -4.127, 4.012], [6.921, 8.312, 11.264]], "species": ["Ga", "Ga", "Ga", "Ga", "Ga", "Ga", "Ga", "Ga", "Ga", "Ga", "Ga", "Ga", "Ga", "Ga", "Ga", "Ga", "Ga", "Ga", "Ga", "Ga", "Ga", "Ga", "Ga", "Ga", "Pu", "Pu", "Pu", "Pu", "Co", "Co"], "fractional_positions": [[0.500, 0.500, 0.341], [0.000, 0.000, 0.341], [0.671, 0.829, 0.571], [0.829, 0.329, 0.571], [0.250, 0.750, 0.084], [0.329, 0.171, 0.571], [0.250, 0.250, 0.084], [0.500, 0.500, 0.186], [0.329, 0.829, 0.429], [0.750, 0.250, 0.084], [0.750, 0.250, 0.916], [0.750, 0.750, 0.916], [0.000, 0.000, 0.186], [0.250, 0.250, 0.916], [0.671, 0.171, 0.429], [0.171, 0.671, 0.571], [0.500, 0.500, 0.659], [0.500, 0.500, 0.814], [0.829, 0.671, 0.429], [0.000, 0.000, 0.659], [0.750, 0.750, 0.084], [0.000, 0.000, 0.814], [0.171, 0.329, 0.429], [0.250, 0.750, 0.916], [0.500, 0.000, 0.239], [0.000, 0.500, 0.239], [0.000, 0.500, 0.761], [0.500, 0.000, 0.761], [0.000, 0.500, 0.000], [0.500, 0.000, 0.000]], "energy_ev_per_atom": -5.07, "ef_kj_per_mol_atoms": -25.4, "space_group": "P4/nbm", "dos_at_fermi_per_ev_cell": 49.448, "magnetic_moment_mub_per_fu": 10.62}

[9]
{"formula": "PuGa7Co5", "functional": "PBE-GGA", "state": "relaxed", "lattice_angstrom": [[4.704, 0.000, 1.932], [2.375, 6.014, 0.909], [0.067, -0.042, 6.529]], "species": ["Pu", "Ga", "Ga", "Ga", "Ga", "Ga", "Ga", "Ga", "Co", "Co", "Co", "Co", "Co"], "fractional_positions": [[0.010, 0.990, 0.990], [0.269, 0.231, 0.231], [0.512, 0.190, 0.786], [0.980, 0.679, 0.361], [0.345, 0.655, 0.655], [0.662, 0.338, 0.338], [0.980, 0.361, 0.679], [0.512, 0.786, 0.190], [0.489, 0.005, 0.496], [0.731, 0.769, 0.769], [0.489, 0.496, 0.005], [0.009, 0.496, 0.005], [0.009, 0.005, 0.496]], "energy_ev_per_atom": -5.74, "ef_kj_per_mol_atoms": -26.1, "space_group": "Imm2", "dos_at_fermi_per_ev_cell": 19.278, "magnetic_moment_mub_per_fu": 4.46}

[10]
{"formula": "Pu2Ga8Co", "functional": "PBE-GGA", "state": "relaxed", "lattice_angstrom": [[4.258, 0.000, 0.000], [0.000, 4.258, 0.000], [0.000, 0.000, 11.108]], "species": ["Ga", "Ga", "Ga", "Ga", "Ga", "Ga", "Ga", "Ga", "Pu", "Pu", "Co"], "fractional_positions": [[0.500, 0.000, 0.500], [0.000, 0.500, 0.883], [0.500, 0.500, 0.304], [0.500, 0.500, 0.696], [0.000, 0.500, 0.500], [0.500, 0.000, 0.883], [0.500, 0.000, 0.117], [0.000, 0.500, 0.117], [0.000, 0.000, 0.695], [0.000, 0.000, 0.305], [0.000, 0.000, 0.000]], "energy_ev_per_atom": -5.83, "ef_kj_per_mol_atoms": -36.7, "space_group": "P4/mmm", "dos_at_fermi_per_ev_cell": 18.462, "magnetic_moment_mub_per_fu": 10.62}

[11]
{"formula": "PuGaCoRh", "functional": "PBE-GGA", "state": "relaxed", "lattice_angstrom": [[4.520, 0.000, 0.000], [2.260, 3.915, 0.000], [2.260, 1.305, 3.691]], "species": ["Ga", "Rh", "Pu", "Co"], "fractional_positions": [[0.250, 0.250, 0.250], [0.500, 0.500, 0.500], [0.750, 0.750, 0.750], [0.000, 0.000, 0.000]], "energy_ev_per_atom": -8.27, "ef_kj_per_mol_atoms": -30.7, "space_group": "F-43m", "dos_at_fermi_per_ev_cell": 6.603, "magnetic_moment_mub_per_fu": 3.89}

[12]
{"formula": "PuGaCoRu", "functional": "PBE-GGA", "state": "relaxed", "lattice_angstrom": [[4.477, 0.000, 0.000], [2.238, 3.877, 0.000], [2.238, 1.292, 3.655]], "species": ["Co", "Ga", "Pu", "Ru"], "fractional_positions": [[0.750, 0.750, 0.750], [0.000, 0.000, 0.000], [0.500, 0.500, 0.500], [0.250, 0.250, 0.250]], "energy_ev_per_atom": -8.66, "ef_kj_per_mol_atoms": -21.4, "space_group": "F-43m", "dos_at_fermi_per_ev_cell": 4.150, "magnetic_moment_mub_per_fu": 3.83}